Here is a relaxed structure of RbLi3I3 from Alexandria. Energies are from PBE.

a b c (Å): 8.1299 8.1299 8.1299
angles (deg): 90.00 90.00 90.00
With the nearest neighbours (Å) after each atom.
Atoms (fractional coordinates):
Rb1 0.0000 0.0000 0.0000  12 Li 4.54, 12 I 4.54
Rb2 0.5000 0.5000 0.5000  12 Li 4.54, 12 I 4.54
Li1 0.0000 0.2500 0.5000  4 I 2.87
Li2 0.0000 0.7500 0.5000  4 I 2.87
Li3 0.2500 0.5000 0.0000  4 I 2.87
Li4 0.5000 0.0000 0.2500  4 I 2.87
Li5 0.5000 0.0000 0.7500  4 I 2.87
Li6 0.7500 0.5000 0.0000  4 I 2.87
I1 0.0000 0.5000 0.2500  4 Li 2.87
I2 0.0000 0.5000 0.7500  4 Li 2.87
I3 0.2500 0.0000 0.5000  4 Li 2.87
I4 0.5000 0.2500 0.0000  4 Li 2.87
I5 0.5000 0.7500 0.0000  4 Li 2.87
I6 0.7500 0.0000 0.5000  4 Li 2.87

Summary:
uncorrected energy = -35.821 eV/cell
formation energy (no corrections) = -632 kJ/mol of formula units
space group = Pm-3n, No. 223

***

Here is a relaxed structure of LaGeRu3 from Alexandria. Energies are from PBE.

a b c (Å): 4.6262 4.6262 4.6262
angles (deg): 90.00 90.00 90.00
With the nearest neighbours (Å) after each atom.
Atoms (fractional coordinates):
La1 0.0000 0.0000 0.0000  12 Ru 3.27
Ge1 0.5000 0.5000 0.5000  6 Ru 2.31
Ru1 0.0000 0.5000 0.5000  2 Ge 2.31
Ru2 0.5000 0.0000 0.5000  2 Ge 2.31
Ru3 0.5000 0.5000 0.0000  2 Ge 2.31

Summary:
distance to the lowest polymorph of the same formula = 0.0 meV/atom
uncorrected energy = -36.153 eV/cell
DFT formation energy = 0.244 eV per atom
space group = Pm-3m, No. 221

***

Here is a relaxed structure of OsAuN3 from Alexandria. Energies are from PBE.

a b c (Å): 3.8953 3.8953 3.8953
angles (deg): 90.00 90.00 90.00
With the nearest neighbours (Å) after each atom.
Atoms (fractional coordinates):
Os1 0.0000 0.0000 0.0000  6 N 1.95
Au1 0.5000 0.5000 0.5000  12 N 2.75
N1 0.0000 0.0000 0.5000  2 Os 1.95
N2 0.0000 0.5000 0.0000  2 Os 1.95
N3 0.5000 0.0000 0.0000  2 Os 1.95

Summary:
uncorrected energy = -32.393 eV/cell
formation energy (no corrections) = 684 kJ/mol of formula units
space group = Pm-3m, No. 221

***

Here is a relaxed structure of La4NiRhI2 from Alexandria. Energies are from PBE.

a b c (Å): 7.3334 4.2196 8.6200
angles (deg): 90.00 106.54 90.00
With the nearest neighbours (Å) after each atom.
Atoms (fractional coordinates):
La1 0.2254 0.0000 0.1829  2 Ni 2.86, 1 Rh 2.89
La2 0.2705 0.5000 0.8143  1 Ni 2.88, 2 Rh 2.88
La3 0.7295 0.5000 0.1857  1 Ni 2.88, 2 Rh 2.88
La4 0.7746 0.0000 0.8171  2 Ni 2.86, 1 Rh 2.89
Ni1 0.0000 0.5000 0.0000  6 La 2.86-2.88
Rh1 0.5000 0.0000 0.0000  6 La 2.88-2.89
I1 0.0000 0.0000 0.5000  6 La 3.56-3.57
I2 0.5000 0.5000 0.5000  6 La 3.57-3.58

Summary:
uncorrected energy = -43.138 eV/cell
formation energy (no corrections) = -694 kJ/mol of formula units
space group = P2/m, No. 10

***

Here is a relaxed structure of ErVC from Alexandria. Energies are from PBE.

a b c (Å): 10.5497 3.2940 5.2905
angles (deg): 90.00 90.00 90.00
With the nearest neighbours (Å) after each atom.
Atoms (fractional coordinates):
Er1 0.0500 0.2500 0.2460  3 C 2.51-2.53
Er2 0.4500 0.7500 0.7460  3 C 2.51-2.53
Er3 0.5500 0.2500 0.2540  3 C 2.51-2.53
Er4 0.9500 0.7500 0.7540  3 C 2.51-2.53
V1 0.2063 0.2500 0.7659  3 C 2.02-2.08
V2 0.2937 0.7500 0.2659  3 C 2.02-2.08
V3 0.7063 0.2500 0.7341  3 C 2.02-2.08
V4 0.7937 0.7500 0.2341  3 C 2.02-2.08
C1 0.1641 0.7500 0.9709  3 V 2.02-2.08
C2 0.3359 0.2500 0.4709  3 V 2.02-2.08
C3 0.6641 0.7500 0.5291  3 V 2.02-2.08
C4 0.8359 0.2500 0.0291  3 V 2.02-2.08

Summary:
distance to the lowest polymorph of the same formula = 0.0 meV/atom
uncorrected energy = -93.741 eV/cell
DFT formation energy = -0.177 eV per atom
space group = Pnma, No. 62

***

Here is a relaxed structure of MnZn6Cu3 from Alexandria. Energies are from PBE.

a b c (Å): 7.1768 4.3115 9.4026
angles (deg): 90.00 111.08 90.00
With the nearest neighbours (Å) after each atom.
Atoms (fractional coordinates):
Mn1 0.1110 0.2500 0.0721  8 Zn 2.64-2.71, 2 Cu 2.70-2.73, 2 Mn 2.73
Mn2 0.8890 0.7500 0.9279  8 Zn 2.64-2.71, 2 Cu 2.70-2.73, 2 Mn 2.73
Zn1 0.0878 0.7500 0.2293  4 Cu 2.61-2.71, 3 Mn 2.65-2.68, 5 Zn 2.70-2.80
Zn2 0.1055 0.2500 0.5713  7 Cu 2.63-2.70, 5 Zn 2.66-2.72
Zn3 0.2931 0.7500 0.0260  4 Cu 2.60-2.71, 3 Mn 2.64-2.71, 5 Zn 2.69-2.80
Zn4 0.3022 0.2500 0.3721  7 Zn 2.63-2.81, 4 Cu 2.65-2.73, 1 Mn 2.66
Zn5 0.4871 0.7500 0.8290  5 Cu 2.62-2.67, 6 Zn 2.66-2.81, 1 Mn 2.69
Zn6 0.4984 0.7500 0.3317  8 Zn 2.63-2.75, 4 Cu 2.67-2.80
Zn7 0.5016 0.2500 0.6683  8 Zn 2.63-2.75, 4 Cu 2.67-2.80
Zn8 0.5129 0.2500 0.1710  5 Cu 2.62-2.67, 6 Zn 2.66-2.81, 1 Mn 2.69
Zn9 0.6978 0.7500 0.6279  7 Zn 2.63-2.81, 4 Cu 2.65-2.73, 1 Mn 2.66
Zn10 0.7069 0.2500 0.9740  4 Cu 2.60-2.71, 3 Mn 2.64-2.71, 5 Zn 2.69-2.80
Zn11 0.8945 0.7500 0.4287  7 Cu 2.63-2.70, 5 Zn 2.66-2.72
Zn12 0.9122 0.2500 0.7707  4 Cu 2.61-2.71, 3 Mn 2.65-2.68, 5 Zn 2.70-2.80
Cu1 0.0940 0.7500 0.7334  8 Zn 2.60-2.70, 3 Cu 2.68-2.73, 1 Mn 2.73
Cu2 0.2915 0.7500 0.5338  11 Zn 2.62-2.80, 1 Cu 2.73
Cu3 0.3018 0.2500 0.8717  9 Zn 2.61-2.77, 2 Cu 2.68, 1 Mn 2.70
Cu4 0.6982 0.7500 0.1283  9 Zn 2.61-2.77, 2 Cu 2.68, 1 Mn 2.70
Cu5 0.7085 0.2500 0.4662  11 Zn 2.62-2.80, 1 Cu 2.73
Cu6 0.9060 0.2500 0.2666  8 Zn 2.60-2.70, 3 Cu 2.68-2.73, 1 Mn 2.73

Summary:
uncorrected energy = -58.738 eV/cell
DFT formation energy = -0.027 eV per atom
space group = P2_1/m, No. 11

***

Here is a relaxed structure of Tb3Si3Os2 from Alexandria. Energies are from PBE.

a b c (Å): 7.9601 13.9987 5.7789
angles (deg): 90.00 90.00 90.00
With the nearest neighbours (Å) after each atom.
Atoms (fractional coordinates):
Tb1 0.0526 0.1132 0.1206  5 Si 2.98-3.18, 4 Os 3.08-3.25
Tb2 0.0526 0.3868 0.1206  5 Si 2.98-3.18, 4 Os 3.08-3.25
Tb3 0.1957 0.2500 0.6300  4 Si 2.94-3.01, 4 Os 3.19-3.25
Tb4 0.3043 0.7500 0.1300  4 Si 2.94-3.01, 4 Os 3.19-3.25
Tb5 0.4474 0.6132 0.6206  5 Si 2.98-3.18, 4 Os 3.08-3.25
Tb6 0.4474 0.8868 0.6206  5 Si 2.98-3.18, 4 Os 3.08-3.25
Tb7 0.5526 0.1132 0.3794  5 Si 2.98-3.18, 4 Os 3.08-3.25
Tb8 0.5526 0.3868 0.3794  5 Si 2.98-3.18, 4 Os 3.08-3.25
Tb9 0.6957 0.2500 0.8700  4 Si 2.94-3.01, 4 Os 3.19-3.25
Tb10 0.8043 0.7500 0.3700  4 Si 2.94-3.01, 4 Os 3.19-3.25
Tb11 0.9474 0.6132 0.8794  5 Si 2.98-3.18, 4 Os 3.08-3.25
Tb12 0.9474 0.8868 0.8794  5 Si 2.98-3.18, 4 Os 3.08-3.25
Si1 0.1472 0.7500 0.5898  2 Os 2.57
Si2 0.1873 0.0400 0.6417  3 Os 2.35-2.41
Si3 0.1873 0.4600 0.6417  3 Os 2.35-2.41
Si4 0.3127 0.5400 0.1417  3 Os 2.35-2.41
Si5 0.3127 0.9600 0.1417  3 Os 2.35-2.41
Si6 0.3528 0.2500 0.0898  2 Os 2.57
Si7 0.6472 0.7500 0.9102  2 Os 2.57
Si8 0.6873 0.0400 0.8583  3 Os 2.35-2.41
Si9 0.6873 0.4600 0.8583  3 Os 2.35-2.41
Si10 0.8127 0.5400 0.3583  3 Os 2.35-2.41
Si11 0.8127 0.9600 0.3583  3 Os 2.35-2.41
Si12 0.8528 0.2500 0.4102  2 Os 2.57
Os1 0.0969 0.5882 0.3923  4 Si 2.35-2.57
Os2 0.0969 0.9118 0.3923  4 Si 2.35-2.57
Os3 0.4031 0.0882 0.8923  4 Si 2.35-2.57
Os4 0.4031 0.4118 0.8923  4 Si 2.35-2.57
Os5 0.5969 0.5882 0.1077  4 Si 2.35-2.57
Os6 0.5969 0.9118 0.1077  4 Si 2.35-2.57
Os7 0.9031 0.0882 0.6077  4 Si 2.35-2.57
Os8 0.9031 0.4118 0.6077  4 Si 2.35-2.57

Summary:
uncorrected energy = -234.092 eV/cell
formation energy (no corrections) = -570 kJ/mol of formula units
space group = Pnma, No. 62

***

Here is a relaxed structure of Cd6Ag4Hg from Alexandria. Energies are from PBE.

a b c (Å): 7.2004 7.2004 7.2004
angles (deg): 118.37 118.37 92.85
With the nearest neighbours (Å) after each atom.
Atoms (fractional coordinates):
Cd1 0.0000 0.5000 0.5000  4 Ag 2.80
Cd2 0.1159 0.1159 0.6920  4 Ag 2.74-2.94
Cd3 0.4239 0.4239 0.3080  4 Ag 2.74-2.94
Cd4 0.5000 0.0000 0.5000  4 Ag 2.80
Cd5 0.5761 0.8841 0.0000  4 Ag 2.74-2.94
Cd6 0.8841 0.5761 0.0000  4 Ag 2.74-2.94
Ag1 0.2642 0.6116 0.0000  6 Cd 2.74-2.94, 2 Ag 2.84
Ag2 0.3884 0.3884 0.6525  6 Cd 2.74-2.94, 2 Ag 2.84
Ag3 0.6116 0.2642 0.0000  6 Cd 2.74-2.94, 2 Ag 2.84
Ag4 0.7358 0.7358 0.3475  6 Cd 2.74-2.94, 2 Ag 2.84
Hg1 0.0000 0.0000 0.0000  4 Cd 3.12, 4 Ag 3.46

Summary:
distance to the lowest polymorph of the same formula = 59.2 meV/atom
uncorrected energy = -16.309 eV/cell
DFT formation energy = 0.081 eV per atom
space group = I-42m, No. 121

***

Here is a relaxed structure of Cs8BiO2 from Alexandria. Energies are from PBE.

a b c (Å): 10.6018 10.6018 6.1716
angles (deg): 106.88 106.88 73.31
With the nearest neighbours (Å) after each atom.
Atoms (fractional coordinates):
Cs1 0.1209 0.1209 0.6205  2 O 2.87
Cs2 0.1913 0.8087 0.0000  2 O 3.10
Cs3 0.2150 0.5430 0.3793  1 O 2.85
Cs4 0.4570 0.7850 0.6207  1 O 2.85
Cs5 0.5430 0.2150 0.3793  1 O 2.85
Cs6 0.7850 0.4570 0.6207  1 O 2.85
Cs7 0.8087 0.1913 0.0000  2 O 3.10
Cs8 0.8791 0.8791 0.3795  2 O 2.87
Bi1 0.5000 0.5000 0.0000  10 Cs 3.91-4.18
O1 0.1690 0.8310 0.5000  6 Cs 2.85-3.10
O2 0.8310 0.1690 0.5000  6 Cs 2.85-3.10

Summary:
uncorrected energy = -27.706 eV/cell
formation energy (no corrections) = -683 kJ/mol of formula units
space group = C2/m, No. 12

***

Here is a relaxed structure of FeCu2 from Alexandria. Energies are from PBE.

a b c (Å): 7.1236 7.1236 2.4741
angles (deg): 90.00 90.00 120.00
With the nearest neighbours (Å) after each atom.
Atoms (fractional coordinates):
Fe1 0.0000 0.0000 0.0000  2 Fe 2.47, 9 Cu 2.53-2.54
Fe2 0.3333 0.6667 0.5000  9 Cu 2.46-2.61, 2 Fe 2.47
Fe3 0.6667 0.3333 0.5000  9 Cu 2.46-2.61, 2 Fe 2.47
Cu1 0.0000 0.3106 0.5000  4 Fe 2.46-2.53, 8 Cu 2.47-2.69
Cu2 0.0000 0.6439 0.0000  8 Cu 2.47-2.69, 5 Fe 2.54-2.61
Cu3 0.3106 0.0000 0.5000  4 Fe 2.46-2.53, 8 Cu 2.47-2.69
Cu4 0.3561 0.3561 0.0000  8 Cu 2.47-2.69, 5 Fe 2.54-2.61
Cu5 0.6439 0.0000 0.0000  8 Cu 2.47-2.69, 5 Fe 2.54-2.61
Cu6 0.6894 0.6894 0.5000  4 Fe 2.46-2.53, 8 Cu 2.47-2.69

Summary:
uncorrected energy = -48.185 eV/cell
DFT formation energy = 0.198 eV per atom
space group = P-62m, No. 189